This record from Alexandria describes a relaxed structure of TaAl2P2. The functional is GGA-PBE.

The structure in extended XYZ format:
```
10
Lattice="6.889 0.000 0.000 0.000 6.889 0.000 0.000 0.000 3.273" Properties=species:S:1:pos:R:3 pbc="T T T"
P 1.240 4.684 1.636
P 4.684 5.650 1.636
P 5.650 2.205 1.636
P 2.205 1.240 1.636
Al 2.549 5.994 0.000
Al 5.994 4.340 0.000
Al 4.340 0.896 0.000
Al 0.896 2.549 0.000
Ta 0.000 0.000 0.000
Ta 3.445 3.445 0.000
```

Computed properties:
Total magnetic moment, Bohr magnetons per cell: 0.00
Distance to the lowest polymorph of the same formula, eV per formula unit: 0.00
DFT formation energy, eV per atom: 0.127
Energy, eV per atom: -5.905
Crystal system: tetragonal